Entry from the Alexandria database: an optimized crystal structure of Tm6GePb2Se3 (PBE-GGA). Values from VASP.

Total moment in μB/f.u.: 0.00
Density of states at the Fermi level in states/eV per atom: 0.298
Raw formation energy in eV per formula unit: -13.5

Quantum ESPRESSO input file:
```
&SYSTEM
  ibrav = 0, nat = 12, ntyp = 4
/
ATOMIC_SPECIES
Tm 168.93 Tm.upf
Ge 72.64 Ge.upf
Pb 207.20 Pb.upf
Se 78.96 Se.upf
CELL_PARAMETERS angstrom
4.097 0.000 0.000
0.000 8.489 0.316
-2.049 -2.433 8.839
ATOMIC_POSITIONS crystal
Tm 0.341 0.930 0.682
Tm 0.661 0.593 0.321
Tm 0.659 0.070 0.318
Tm 0.000 0.234 0.000
Tm 0.000 0.766 0.000
Tm 0.339 0.407 0.679
Ge 0.500 0.000 0.000
Pb 0.831 0.664 0.661
Pb 0.169 0.336 0.339
Se 0.500 0.500 0.000
Se 0.835 0.165 0.669
Se 0.165 0.835 0.331
```

=====

Entry from the Alexandria database: an optimized crystal structure of LaCe4Sm3S8 (PBE-GGA). Values from VASP.

Total moment in μB/f.u.: 2.89
Density of states at the Fermi level in states/eV per atom: 1.413
Raw formation energy in eV per formula unit: -32.8

Quantum ESPRESSO input file:
```
&SYSTEM
  ibrav = 0, nat = 16, ntyp = 4
/
ATOMIC_SPECIES
La 138.91 La.upf
Ce 140.12 Ce.upf
Sm 150.36 Sm.upf
S 32.06 S.upf
CELL_PARAMETERS angstrom
8.071 0.000 0.000
0.000 8.077 -0.001
-4.035 -4.031 5.710
ATOMIC_POSITIONS crystal
La 0.000 0.500 0.000
Ce 0.500 0.000 0.000
Ce 0.500 0.000 0.500
Ce 0.000 0.000 0.000
Ce 0.000 0.000 0.500
Sm 0.500 0.500 0.000
Sm 0.500 0.500 0.500
Sm 0.000 0.500 0.500
S 0.253 0.751 0.998
S 0.253 0.751 0.506
S 0.251 0.252 0.501
S 0.745 0.751 0.998
S 0.255 0.249 0.002
S 0.749 0.748 0.499
S 0.747 0.249 0.494
S 0.747 0.249 0.002
```

=====

Entry from the Alexandria database: an optimized crystal structure of CeZrPa2N6 (PBE-GGA). Values from VASP.

Total moment in μB/f.u.: 0.00
Raw formation energy in eV per formula unit: -15.1

Quantum ESPRESSO input file:
```
&SYSTEM
  ibrav = 0, nat = 10, ntyp = 4
/
ATOMIC_SPECIES
Ce 140.12 Ce.upf
Zr 91.22 Zr.upf
Pa 231.04 Pa.upf
N 14.01 N.upf
CELL_PARAMETERS angstrom
-2.971 -1.085 -4.995
-5.644 -1.746 0.237
-4.338 3.776 -1.739
ATOMIC_POSITIONS crystal
Ce 0.793 0.793 0.622
Zr 0.306 0.306 0.083
Pa 0.525 0.525 0.425
Pa 0.021 0.021 0.938
N 0.618 0.214 0.238
N 0.214 0.929 0.238
N 0.929 0.618 0.238
N 0.404 0.707 0.744
N 0.707 0.144 0.744
N 0.144 0.404 0.744
```

=====

Entry from the Alexandria database: an optimized crystal structure of K2RbUO4 (PBE-GGA). Values from VASP.

Total moment in μB/f.u.: 1.00
Density of states at the Fermi level in states/eV per atom: 0.203
Raw formation energy in eV per formula unit: -18.5

Quantum ESPRESSO input file:
```
&SYSTEM
  ibrav = 0, nat = 8, ntyp = 4
/
ATOMIC_SPECIES
K 39.10 K.upf
Rb 85.47 Rb.upf
U 238.03 U.upf
O 16.00 O.upf
CELL_PARAMETERS angstrom
3.619 0.000 0.000
1.810 6.079 1.514
1.810 3.183 7.822
ATOMIC_POSITIONS crystal
K 0.751 0.730 0.767
K 0.249 0.270 0.233
Rb 0.500 0.500 0.500
U 0.000 0.000 0.000
O 0.101 0.064 0.734
O 0.407 0.276 0.910
O 0.899 0.936 0.266
O 0.593 0.724 0.090
```